# 1
# Dy3Mg2Sn3

An optimized crystal structure of Dy3Mg2Sn3 (PBE, Alexandria).

extended XYZ file:
```
16
Lattice="8.827 0.000 0.000 -4.414 7.645 0.000 0.000 0.000 6.265" Properties=species:S:1:pos:R:3 pbc="T T T"
Dy -1.127 1.951 1.566
Dy -3.287 5.693 4.699
Dy 2.253 0.000 1.566
Dy 1.127 1.951 4.699
Dy 6.574 0.000 4.699
Dy 3.287 5.693 1.566
Mg 0.000 5.096 0.000
Mg 0.000 5.096 3.133
Mg 4.414 2.548 0.000
Mg 4.414 2.548 3.133
Sn -1.724 2.985 4.699
Sn -2.690 4.659 1.566
Sn 3.447 0.000 4.699
Sn 1.724 2.985 1.566
Sn 5.380 0.000 1.566
Sn 2.690 4.659 4.699
```

=====

# 2
# Dy5MgSn4

An optimized crystal structure of Dy5MgSn4 (PBE, Alexandria).

extended XYZ file:
```
20
Lattice="9.115 0.000 0.000 0.000 9.394 0.000 0.000 0.000 7.579" Properties=species:S:1:pos:R:3 pbc="T T T"
Dy 0.345 0.089 1.890
Dy 0.345 4.608 1.890
Dy 2.279 2.348 6.819
Dy 4.212 0.089 1.890
Dy 4.212 4.608 1.890
Dy 4.902 4.786 5.690
Dy 4.902 9.305 5.690
Dy 6.836 7.045 0.761
Dy 8.769 4.786 5.690
Dy 8.769 9.305 5.690
Mg 2.279 7.045 4.791
Mg 6.836 2.348 2.789
Sn 0.752 7.045 7.547
Sn 2.279 0.570 4.193
Sn 2.279 4.127 4.193
Sn 3.805 7.045 7.547
Sn 5.310 2.348 0.032
Sn 6.836 5.267 3.387
Sn 6.836 8.824 3.387
Sn 8.362 2.348 0.032
```

=====

no.,density of states at the Fermi level (states/eV per atom),DFT total energy (eV per cell)
1,0.60,-66.18
2,0.67,-86.73